# Ba2TmMg12Zn3

A geometry-optimized Ba2TmMg12Zn3 structure (PBE, the Alexandria database).

- energy of formation from the pure elements (eV/atom) = 0.192
- space-group type = R-3m (166)

a b c (Å): 9.415 9.415 9.415
angles (deg): 56.11 56.11 56.11
Element x y z (fractional)
Ba1 0.085 0.085 0.085
Ba2 0.915 0.915 0.915
Tm1 0.500 0.500 0.500
Mg1 0.041 0.664 0.664
Mg2 0.274 0.274 0.623
Mg3 0.274 0.623 0.274
Mg4 0.336 0.336 0.959
Mg5 0.336 0.959 0.336
Mg6 0.377 0.726 0.726
Mg7 0.623 0.274 0.274
Mg8 0.664 0.041 0.664
Mg9 0.664 0.664 0.041
Mg10 0.726 0.377 0.726
Mg11 0.726 0.726 0.377
Mg12 0.959 0.336 0.336
Zn1 0.000 0.500 0.500
Zn2 0.500 0.000 0.500
Zn3 0.500 0.500 0.000

***

# Ce5Ge2CN

A geometry-optimized Ce5Ge2CN structure (PBE, the Alexandria database).

- space-group type = P4/mmm (123)
- uncorrected formation energy (eV per atom) = -0.53

a b c (Å): 4.550 4.550 10.421
angles (deg): 90.00 90.00 90.00
Element x y z (fractional)
Ce1 0.000 0.000 0.000
Ce2 0.000 0.500 0.500
Ce3 0.500 0.000 0.500
Ce4 0.500 0.500 0.217
Ce5 0.500 0.500 0.783
Ge1 0.000 0.000 0.288
Ge2 0.000 0.000 0.712
C1 0.500 0.500 0.000
N1 0.500 0.500 0.500

***

# Er8Cd2Fe

A geometry-optimized Er8Cd2Fe structure (PBE, the Alexandria database).

- energy above the lowest structure with this stoichiometry (eV per atom) = 0.131
- energy of formation from the pure elements (eV/atom) = 0.038
- space-group type = Immm (71)

a b c (Å): 8.464 8.464 8.464
angles (deg): 144.92 120.53 70.95
Element x y z (fractional)
Er1 0.126 0.126 0.000
Er2 0.128 0.353 0.775
Er3 0.325 0.000 0.325
Er4 0.422 0.647 0.775
Er5 0.578 0.353 0.225
Er6 0.675 0.000 0.675
Er7 0.872 0.647 0.225
Er8 0.874 0.874 0.000
Cd1 0.298 0.798 0.500
Cd2 0.702 0.202 0.500
Fe1 0.000 0.500 0.500

***

# Sc4Cd3Cu

A geometry-optimized Sc4Cd3Cu structure (PBE, the Alexandria database).

- energy of formation from the pure elements (eV/atom) = -0.278
- space-group type = P4/mmm (123)

a b c (Å): 3.319 3.319 15.252
angles (deg): 90.00 90.00 90.00
Element x y z (fractional)
Sc1 0.000 0.000 0.103
Sc2 0.000 0.000 0.368
Sc3 0.000 0.000 0.632
Sc4 0.000 0.000 0.897
Cd1 0.500 0.500 0.237
Cd2 0.500 0.500 0.500
Cd3 0.500 0.500 0.763
Cu1 0.500 0.500 0.000

***

# La9Sm11Er4

A geometry-optimized La9Sm11Er4 structure (PBE, the Alexandria database).

- energy of formation from the pure elements (eV/atom) = 0.053
- space-group type = Cmmm (65)

a b c (Å): 15.956 15.956 3.713
angles (deg): 90.00 90.00 117.70
Element x y z (fractional)
La1 0.000 0.000 0.000
La2 0.115 0.671 0.000
La3 0.295 0.470 0.000
La4 0.329 0.885 0.000
La5 0.470 0.295 0.000
La6 0.530 0.705 0.000
La7 0.671 0.115 0.000
La8 0.705 0.530 0.000
La9 0.885 0.329 0.000
Sm1 0.099 0.464 0.500
Sm2 0.122 0.878 0.500
Sm3 0.247 0.247 0.500
Sm4 0.321 0.679 0.500
Sm5 0.464 0.099 0.500
Sm6 0.500 0.500 0.500
Sm7 0.536 0.901 0.500
Sm8 0.679 0.321 0.500
Sm9 0.753 0.753 0.500
Sm10 0.878 0.122 0.500
Sm11 0.901 0.536 0.500
Er1 0.074 0.266 0.000
Er2 0.266 0.074 0.000
Er3 0.734 0.926 0.000
Er4 0.926 0.734 0.000

***

# Ce3Tl2In3

A geometry-optimized Ce3Tl2In3 structure (PBE, the Alexandria database).

- energy of formation from the pure elements (eV/atom) = -0.296
- space-group type = Pmmm (47)

a b c (Å): 4.751 4.769 9.668
angles (deg): 90.00 90.00 90.00
Element x y z (fractional)
Ce1 0.000 0.000 0.000
Ce2 0.000 0.500 0.260
Ce3 0.000 0.500 0.740
Tl1 0.500 0.000 0.246
Tl2 0.500 0.000 0.754
In1 0.000 0.000 0.500
In2 0.500 0.500 0.000
In3 0.500 0.500 0.500

***

# Ho2Th4Sc3

A geometry-optimized Ho2Th4Sc3 structure (PBE, the Alexandria database).

- energy of formation from the pure elements (eV/atom) = 0.124
- space-group type = C2/c (15)

a b c (Å): 9.702 9.702 5.964
angles (deg): 96.32 96.32 72.25
Element x y z (fractional)
Ho1 0.089 0.355 0.346
Ho2 0.355 0.089 0.846
Ho3 0.645 0.911 0.154
Ho4 0.911 0.645 0.654
Th1 0.021 0.758 0.191
Th2 0.242 0.979 0.309
Th3 0.313 0.578 0.481
Th4 0.422 0.687 0.019
Th5 0.578 0.313 0.981
Th6 0.687 0.422 0.519
Th7 0.758 0.021 0.691
Th8 0.979 0.242 0.809
Sc1 0.113 0.887 0.750
Sc2 0.220 0.450 0.921
Sc3 0.450 0.220 0.421
Sc4 0.550 0.780 0.579
Sc5 0.780 0.550 0.079
Sc6 0.887 0.113 0.250

***

# KPt3Pb

A geometry-optimized KPt3Pb structure (PBE, the Alexandria database).

- energy above the lowest structure with this stoichiometry (eV per atom) = 0.998
- energy of formation from the pure elements (eV/atom) = 1.652
- space-group type = Pm-3m (221)

a b c (Å): 5.042 5.042 5.042
angles (deg): 90.00 90.00 90.00
Element x y z (fractional)
K1 0.000 0.000 0.000
Pt1 0.000 0.000 0.500
Pt2 0.000 0.500 0.000
Pt3 0.500 0.000 0.000
Pb1 0.500 0.500 0.500

***

Values for calculated total energy, eV/cell, ordered as above
-27.8; -61.3; -46.4; -34.4; -113.2; -33.1; -113.4; -14.7